Entry 1:
Material: YAl2Ni2
Method: DFT, SCAN
State: single point on PBEsol structure

Lattice parameters (Å, degrees): 3.927 3.927 5.849 109.62 109.62 90.00
Atoms (fractional coordinates):
Al 0.250 0.750 0.500
Ni 0.387 0.387 0.774
Ni 0.613 0.613 0.226
Al 0.750 0.250 0.500
Y 0.000 0.000 0.000

=====

Entry 2:
Material: HPdAu2
Method: DFT, SCAN
State: single point on PBEsol structure

Lattice parameters (Å, degrees): 4.319 4.319 4.319 60.00 60.00 60.00
Atoms (fractional coordinates):
Pd 0.500 0.500 0.500
H 0.000 0.000 0.000
Au 0.750 0.750 0.750
Au 0.250 0.250 0.250

=====

| no. | uncorrected energy (eV for the cell shown) |
| --- | --- |
| 1 | -79.02 |
| 2 | -172.16 |